Record 1
VASP calculation (PBE) on a geometry-optimized Na3LaNd2Te6 structure.

Values from the calculation:
Energy = -53.5 eV per cell
Formation energy without anion corrections = -1355 meV per atom

The structure in POSCAR format:
```
Na3LaNd2Te6
1.0
3.9702 -6.8772 0.0000
3.9702 6.8772 0.0000
-2.6483 0.0000 7.5447
Na La Nd Te
3 1 2 6
direct
0.0000 0.0000 0.0000
0.3337 0.6663 0.0000
0.6663 0.3337 0.0000
0.5000 0.5000 0.5000
0.1667 0.8333 0.5000
0.8333 0.1667 0.5000
0.0831 0.4200 0.2600
0.2431 0.2431 0.7403
0.4200 0.0831 0.2600
0.5800 0.9169 0.7400
0.7569 0.7569 0.2597
0.9169 0.5800 0.7400
```


Record 2
VASP calculation (PBE) on a geometry-optimized NaLa2NdTe4 structure.

Values from the calculation:
Energy = -40.2 eV per cell
Formation energy without anion corrections = -1462 meV per atom

The structure in POSCAR format:
```
NaLa2NdTe4
1.0
7.8347 0.0000 0.0000
0.0000 4.5516 0.0000
-2.6468 0.0000 7.5117
Na La Nd Te
1 2 1 4
direct
0.0000 0.0000 0.0000
0.5000 0.0000 0.5000
0.5000 0.5000 0.0000
0.0000 0.5000 0.5000
0.2441 0.0000 0.7499
0.2454 0.5000 0.2487
0.7546 0.5000 0.7513
0.7559 0.0000 0.2501
```


Record 3
VASP calculation (PBE) on a geometry-optimized NaLa3Nd2Te6 structure.

Values from the calculation:
Energy = -62.3 eV per cell
Formation energy without anion corrections = -1484 meV per atom

The structure in POSCAR format:
```
NaLa3Nd2Te6
1.0
9.9049 -2.2768 0.0000
9.9049 2.2768 0.0000
-1.9736 0.0000 8.8713
Na La Nd Te
1 3 2 6
direct
0.0000 0.0000 0.0000
0.0000 0.0000 0.5000
0.3351 0.3351 0.1689
0.6649 0.6649 0.8311
0.3300 0.3300 0.6570
0.6700 0.6700 0.3430
0.1660 0.1660 0.0879
0.1659 0.1659 0.5835
0.4969 0.4969 0.7528
0.5031 0.5031 0.2472
0.8341 0.8341 0.4165
0.8340 0.8340 0.9121
```


Record 4
VASP calculation (PBE) on a geometry-optimized NaLa3Nd3Te8 structure.

Values from the calculation:
Energy = -77.6 eV per cell
Formation energy without anion corrections = -1468 meV per atom

The structure in POSCAR format:
```
NaLa3Nd3Te8
1.0
4.5249 2.6125 7.4002
-4.5249 2.6125 7.4002
0.0000 -5.2249 7.4002
Na La Nd Te
1 3 3 8
direct
0.0000 0.0000 0.0000
0.0000 0.0000 0.5000
0.0000 0.5000 0.0000
0.5000 0.0000 0.0000
0.0000 0.5000 0.5000
0.5000 0.0000 0.5000
0.5000 0.5000 0.0000
0.2517 0.2517 0.2517
0.2536 0.2536 0.7435
0.2536 0.7435 0.2536
0.2565 0.7464 0.7464
0.7435 0.2536 0.2536
0.7464 0.2565 0.7464
0.7464 0.7464 0.2565
0.7483 0.7483 0.7483
```